No. 1
The following is a PBE calculation of a relaxed CaTl2Pb crystal, from Alexandria via LeMat-Bulk.

It has space group Pmmm (No. 47), with a = 4.835 Å, b = 4.917 Å, c = 4.926 Å, α = 90.00°, β = 90.00° and γ = 90.00°. The asymmetric unit holds Ca at (0.000, 0.000, 0.000), Tl at (0.000, 0.500, 0.500), Tl at (0.500, 0.000, 0.500) and Pb at (0.500, 0.500, 0.000).


No. 2
The following is a PBE calculation of a relaxed GaCoB3 crystal, from Alexandria via LeMat-Bulk.

The energy above the most stable polymorph in this dataset is 0 meV/atom.

It has space group Pm-3m (No. 221), with a = 3.851 Å, b = 3.851 Å, c = 3.851 Å, α = 90.00°, β = 90.00° and γ = 90.00°. The asymmetric unit holds Ga at (0.000, 0.000, 0.000), Co at (0.500, 0.500, 0.500) and B at (0.000, 0.500, 0.500).


Across the entries above, energy of formation from the pure elements takes the values -1.07 4.49 eV per formula unit, respectively.
Across the entries above, total DFT energy (no corrections) takes the values -2.88 -5.14 eV per atom, respectively.